Entry from Alexandria: a geometry-optimized MgTlRh4 structure (GGA-PBE).

Values from the calculation:
**Total DFT energy (no corrections)**: -5.55 eV/atom
**Total magnetization**: 0.00 μB per atom
**Formation energy from the elements**: 11 meV/atom

Lattice parameters (Å, degrees): 5.2288 5.2288 5.2288 60.00 60.00 60.00
Last column: nearest neighbours and their distance in Å.
Fractional coordinates of all 6 atoms:
Tl (0.7500, 0.7500, 0.7500)  12 Rh 3.07, 4 Mg 3.20
Rh (0.3749, 0.8753, 0.3749)  6 Rh 2.61-2.62
Rh (0.3749, 0.3749, 0.3749)  6 Rh 2.61-2.62
Mg (0.0000, 0.0000, 0.0000)  12 Rh 3.07, 4 Tl 3.20
Rh (0.8753, 0.3749, 0.3749)  6 Rh 2.61-2.62
Rh (0.3749, 0.3749, 0.8753)  6 Rh 2.61-2.62